LiBr | GGA-PBEsol | relaxed

a = 3.5788 Å, b = 11.1713 Å, c = 6.4466 Å
α = 90.00°, β = 90.00°, γ = 90.00°
Last column: nearest neighbours and their distance in Å.
Space group Imm2 (No. 44)
Unique sites:
Li1 0.0000 0.0000 0.0000 [2 per cell]  6 Br 2.76-2.80
Li2 0.0000 0.1485 0.5235 [4 per cell]  5 Br 2.49-2.75
Br1 0.0000 0.3374 0.3189 [4 per cell]  3 Li 2.49-2.62
Br2 0.0000 0.5000 0.8269 [2 per cell]  6 Li 2.75-2.76

Properties
* N(E_F): 0.00 states/eV/cell
* VASP energy: -40.7 eV/cell
* calculated volume: 258 Å³/cell
* ΔE_f (raw): -1.477 eV per atom